The following is a PBE-GGA calculation of a relaxed GaSiRh3 crystal, from the Alexandria database.

Computed properties:
**V**: 90.2 Å³/f.u.
**E_form (uncorrected)**: 0.750 eV/atom
**Total magnetic moment**: 0.0 μB/f.u.
**Offset from the most stable computed form**: 1.3140 eV/atom

```
GaSiRh3
1.0
4.4852 0.0000 0.0000
0.0000 4.4852 0.0000
0.0000 0.0000 4.4852
Ga Si Rh
1 1 3
Direct
0.0000 0.0000 0.0000 Ga
0.5000 0.5000 0.5000 Si
0.0000 0.0000 0.5000 Rh
0.0000 0.5000 0.0000 Rh
0.5000 0.0000 0.0000 Rh
```